No. 1
Density functional theory data (PBE) for a relaxed Sm2BiN crystal.

POSCAR file:
```
Sm2BiN
1.0
6.972 0.000 0.055
0.000 6.412 0.000
0.061 0.000 8.900
Sm N Bi
8 4 4
Cartesian
4.021 4.480 1.915
3.012 1.932 7.040
0.978 4.407 5.177
6.498 1.274 7.068
0.535 5.138 1.887
4.464 5.212 5.205
2.569 1.201 3.750
6.055 2.006 3.778
1.071 2.041 5.402
5.962 4.371 3.554
2.476 5.247 3.526
4.557 1.165 5.429
2.484 5.147 7.899
5.970 4.472 7.927
4.549 1.266 1.056
1.063 1.941 1.028
```

Results
Magnetic moment (Bohr magnetons per cell): 0.00
Formation energy from raw total energies (eV per atom): -1.027

No. 2
Density functional theory data (PBE) for a relaxed Sm12Bi6N crystal.

POSCAR file:
```
Sm12Bi6N
1.0
-2.267 6.688 -5.059
-7.640 -1.608 3.808
3.958 4.303 6.425
Sm Bi N
12 6 1
Cartesian
-4.896 4.257 4.479
2.813 6.151 5.168
-1.503 2.960 4.104
-4.330 2.775 1.190
-4.446 6.422 1.070
-1.697 2.912 8.710
-1.053 5.126 0.695
-8.763 3.231 0.006
-6.607 0.068 5.366
-4.253 6.471 -3.536
0.658 9.314 -0.192
-1.619 6.608 3.984
-6.953 4.785 2.090
1.003 4.597 3.084
-3.294 4.342 -1.395
-2.656 5.040 6.569
-1.928 8.367 1.373
-4.022 1.016 3.801
0.000 0.000 0.000
```

Results
Magnetic moment (Bohr magnetons per cell): 0.23
Formation energy from raw total energies (eV per atom): -0.594

No. 3
Density functional theory data (PBE) for a relaxed Sr2Sm4Bi3N2 crystal.

POSCAR file:
```
Sr2Sm4Bi3N2
1.0
-4.386 0.941 -1.959
-1.100 -4.766 0.175
-2.350 3.535 13.077
Sr N Bi Sm
2 2 3 4
Cartesian
-4.708 -1.287 3.810
-3.128 0.996 7.483
-3.715 -1.603 1.433
-4.121 1.313 9.860
0.000 0.000 0.000
-6.065 -0.855 7.056
-1.771 0.564 4.237
-1.402 -2.112 2.126
-4.791 -1.032 10.234
-3.045 0.742 1.059
-6.434 1.821 9.168
```

Results
Magnetic moment (Bohr magnetons per cell): 0.00
Formation energy from raw total energies (eV per atom): -1.025

No. 4
Density functional theory data (PBE) for a relaxed Tb2Sm4Bi3N2 crystal.

POSCAR file:
```
Tb2Sm4Bi3N2
1.0
4.782 0.000 0.000
0.000 4.782 0.000
-2.391 -2.391 13.054
Sm Tb Bi N
4 2 3 2
Cartesian
2.391 0.000 10.838
0.000 2.391 10.838
0.000 2.391 2.216
2.391 0.000 2.216
0.000 0.000 8.078
2.391 2.391 4.976
2.391 2.391 8.299
0.000 0.000 0.000
0.000 0.000 4.755
0.000 0.000 10.292
2.391 2.391 2.762
```

Results
Magnetic moment (Bohr magnetons per cell): 0.00
Formation energy from raw total energies (eV per atom): -1.017

No. 5
Density functional theory data (PBE) for a relaxed Tb4Sm2Bi3N2 crystal.

POSCAR file:
```
Tb4Sm2Bi3N2
1.0
4.715 0.000 0.000
0.000 4.715 0.000
-2.357 -2.357 13.034
Tb Bi Sm N
4 3 2 2
Cartesian
0.000 2.357 2.190
0.000 2.357 10.843
2.357 0.000 2.190
2.357 0.000 10.843
0.000 0.000 4.680
0.000 0.000 0.000
2.357 2.357 8.354
0.000 0.000 8.051
2.357 2.357 4.982
0.000 0.000 10.388
2.357 2.357 2.646
```

Results
Magnetic moment (Bohr magnetons per cell): 0.00
Formation energy from raw total energies (eV per atom): -1.048

No. 6
Density functional theory data (PBE) for a relaxed SmThBiN2 crystal.

POSCAR file:
```
SmThBiN2
1.0
-0.077 -3.860 -1.279
3.817 0.372 -1.353
0.643 -0.454 7.798
Sm Bi N Th
1 1 2 1
Cartesian
3.515 -3.183 2.928
2.510 -2.195 6.474
3.157 -0.905 2.543
1.210 -3.021 2.580
0.887 -0.776 2.288
```

Results
Magnetic moment (Bohr magnetons per cell): 0.00
Formation energy from raw total energies (eV per atom): -1.164

No. 7
Density functional theory data (PBE) for a relaxed SmThBiN crystal.

POSCAR file:
```
SmThBiN
1.0
-0.185 3.096 -3.514
3.443 -2.294 -2.202
-6.304 -5.300 -4.337
N Th Bi Sm
2 2 2 2
Cartesian
-0.874 -3.329 -2.886
-3.801 -1.570 -4.309
-5.289 -2.821 -5.332
0.614 -2.078 -1.863
-1.340 0.499 -2.615
-3.335 -5.398 -4.580
-1.523 -2.249 -5.026
-3.152 -2.650 -2.169
```

Results
Magnetic moment (Bohr magnetons per cell): 0.00
Formation energy from raw total energies (eV per atom): -1.157

No. 8
Density functional theory data (PBE) for a relaxed SmThBi2N crystal.

POSCAR file:
```
SmThBi2N
1.0
4.243 0.000 0.000
0.000 4.243 0.000
0.000 0.000 15.144
Bi Sm N Th
4 2 2 2
Cartesian
2.122 0.000 4.219
0.000 2.122 10.925
2.122 0.000 12.850
0.000 2.122 2.294
0.000 2.122 14.154
2.122 0.000 0.990
0.000 0.000 7.572
2.122 2.122 7.572
0.000 2.122 6.496
2.122 0.000 8.649
```

Results
Magnetic moment (Bohr magnetons per cell): 0.00
Formation energy from raw total energies (eV per atom): -0.895